1.
First-principles (GGA-PBE) data for a geometry-optimized TlReSb2 structure, as listed in the Alexandria database.

CIF file:
```
data_TlReSb2
_chemical_formula_sum 'Tl2 Re2 Sb4'
_cell_length_a 4.5798
_cell_length_b 4.5798
_cell_length_c 8.5130
_cell_angle_alpha 90.00
_cell_angle_beta 90.00
_cell_angle_gamma 90.00
_symmetry_space_group_name_H-M 'I -4 m 2'
_symmetry_Int_Tables_number 119
_symmetry_space_group_name_Hall 'I -4 -2'
loop_
_atom_site_label
_atom_site_type_symbol
_atom_site_fract_x
_atom_site_fract_y
_atom_site_fract_z
Tl1 Tl 0.0000 0.0000 0.0000
Re1 Re 0.0000 0.5000 0.7500
Sb1 Sb 0.0000 0.0000 0.5000
Sb2 Sb 0.0000 0.5000 0.2500
```

Total magnetic moment, μB per formula unit: 0.0
Distance to the lowest polymorph of the same formula, meV per atom: 784
E_form (uncorrected), meV per atom: 1004

***

2.
First-principles (GGA-PBE) data for a geometry-optimized TaZnCr2 structure, as listed in the Alexandria database.

CIF file:
```
data_TaZnCr2
_chemical_formula_sum 'Ta4 Zn4 Cr8'
_cell_length_a 6.8427
_cell_length_b 6.8427
_cell_length_c 5.3195
_cell_angle_alpha 90.00
_cell_angle_beta 90.00
_cell_angle_gamma 90.00
_symmetry_space_group_name_H-M 'I -4 2 d'
_symmetry_Int_Tables_number 122
_symmetry_space_group_name_Hall 'I -4 2bw'
loop_
_atom_site_label
_atom_site_type_symbol
_atom_site_fract_x
_atom_site_fract_y
_atom_site_fract_z
Ta1 Ta 0.0000 0.0000 0.0000
Zn1 Zn 0.0000 0.0000 0.5000
Cr1 Cr 0.2431 0.7500 0.6250
```

Total magnetic moment, μB per formula unit: 3.6
ΔH_f (0 K), meV per atom: 832

***

3.
First-principles (GGA-PBE) data for a geometry-optimized ZrMo3 structure, as listed in the Alexandria database.

CIF file:
```
data_ZrMo3
_chemical_formula_sum 'Zr3 Mo9'
_cell_length_a 3.0711
_cell_length_b 3.0711
_cell_length_c 26.0099
_cell_angle_alpha 90.00
_cell_angle_beta 90.00
_cell_angle_gamma 120.00
_symmetry_space_group_name_H-M 'R -3 m'
_symmetry_Int_Tables_number 166
_symmetry_space_group_name_Hall '-R 3 2"'
loop_
_atom_site_label
_atom_site_type_symbol
_atom_site_fract_x
_atom_site_fract_y
_atom_site_fract_z
Zr1 Zr 0.0000 0.0000 0.0000
Mo1 Mo 0.0000 0.0000 0.2436
Mo2 Mo 0.0000 0.0000 0.5000
```

Total magnetic moment, μB per formula unit: 0.0
ΔH_f (0 K), meV per atom: 315

***

4.
First-principles (GGA-PBE) data for a geometry-optimized Rb2LiNpI6 structure, as listed in the Alexandria database.

CIF file:
```
data_Rb2LiNpI6
_chemical_formula_sum 'Rb4 Li2 Np2 I12'
_cell_length_a 8.3349
_cell_length_b 8.7254
_cell_length_c 14.5307
_cell_angle_alpha 90.00
_cell_angle_beta 124.78
_cell_angle_gamma 90.00
_symmetry_space_group_name_H-M 'P 1 21/c 1'
_symmetry_Int_Tables_number 14
_symmetry_space_group_name_Hall '-P 2ybc'
loop_
_atom_site_label
_atom_site_type_symbol
_atom_site_fract_x
_atom_site_fract_y
_atom_site_fract_z
Rb1 Rb 0.2275 0.0691 0.2494
Li1 Li 0.0000 0.0000 0.5000
Np1 Np 0.5000 0.0000 0.0000
I1 I 0.1557 0.2044 0.9566
I2 I 0.2622 0.7015 0.9622
I3 I 0.3260 0.0148 0.7453
```

Total magnetic moment, μB per formula unit: 4.0
E_form (uncorrected), meV per atom: -1188

***

5.
First-principles (GGA-PBE) data for a geometry-optimized Sr2TlRh structure, as listed in the Alexandria database.

CIF file:
```
data_Sr2TlRh
_chemical_formula_sum 'Sr2 Tl1 Rh1'
_cell_length_a 4.6464
_cell_length_b 4.5705
_cell_length_c 6.3188
_cell_angle_alpha 90.00
_cell_angle_beta 111.50
_cell_angle_gamma 90.00
_symmetry_space_group_name_H-M 'P 1 m 1'
_symmetry_Int_Tables_number 6
_symmetry_space_group_name_Hall 'P -2y'
loop_
_atom_site_label
_atom_site_type_symbol
_atom_site_fract_x
_atom_site_fract_y
_atom_site_fract_z
Sr1 Sr 0.0000 0.0000 0.0000
Sr2 Sr 0.2854 0.5000 0.5712
Tl1 Tl 0.7038 0.0000 0.4077
Rh1 Rh 0.5717 0.5000 0.1458
```

Total magnetic moment, μB per formula unit: 0.0
Distance to the lowest polymorph of the same formula, meV per atom: 0
ΔH_f (0 K), meV per atom: -292

***

6.
First-principles (GGA-PBE) data for a geometry-optimized Li3Ag5Pd2 structure, as listed in the Alexandria database.

CIF file:
```
data_Li3Ag5Pd2
_chemical_formula_sum 'Li12 Ag20 Pd8'
_cell_length_a 10.1317
_cell_length_b 12.8088
_cell_length_c 5.2777
_cell_angle_alpha 90.00
_cell_angle_beta 90.00
_cell_angle_gamma 90.00
_symmetry_space_group_name_H-M 'I b a m'
_symmetry_Int_Tables_number 72
_symmetry_space_group_name_Hall '-I 2 2c'
loop_
_atom_site_label
_atom_site_type_symbol
_atom_site_fract_x
_atom_site_fract_y
_atom_site_fract_z
Li1 Li 0.0000 0.0000 0.2500
Li2 Li 0.2249 0.3290 0.0000
Ag1 Ag 0.0000 0.5000 0.2500
Ag2 Ag 0.0778 0.1719 0.0000
Ag3 Ag 0.2351 0.0000 0.2500
Pd1 Pd 0.1180 0.3276 0.5000
```

Total magnetic moment, μB per formula unit: 0.0
Distance to the lowest polymorph of the same formula, meV per atom: 169
ΔH_f (0 K), meV per atom: -9

***

7.
First-principles (GGA-PBE) data for a geometry-optimized Ac2BeBi structure, as listed in the Alexandria database.

CIF file:
```
data_Ac2BeBi
_chemical_formula_sum 'Ac2 Be1 Bi1'
_cell_length_a 5.5222
_cell_length_b 5.5222
_cell_length_c 4.2545
_cell_angle_alpha 90.00
_cell_angle_beta 90.00
_cell_angle_gamma 90.00
_symmetry_space_group_name_H-M 'P 4/m m m'
_symmetry_Int_Tables_number 123
_symmetry_space_group_name_Hall '-P 4 2'
loop_
_atom_site_label
_atom_site_type_symbol
_atom_site_fract_x
_atom_site_fract_y
_atom_site_fract_z
Ac1 Ac 0.0000 0.5000 0.0000
Be1 Be 0.0000 0.0000 0.5000
Bi1 Bi 0.5000 0.5000 0.5000
```

Total magnetic moment, μB per formula unit: 0.0
Distance to the lowest polymorph of the same formula, meV per atom: 0
ΔH_f (0 K), meV per atom: -116

***

8.
First-principles (GGA-PBE) data for a geometry-optimized Li2YSc2Tl2 structure, as listed in the Alexandria database.

CIF file:
```
data_Li2YSc2Tl2
_chemical_formula_sum 'Li6 Y3 Sc6 Tl6'
_cell_length_a 4.7086
_cell_length_b 4.7086
_cell_length_c 25.5987
_cell_angle_alpha 90.00
_cell_angle_beta 90.00
_cell_angle_gamma 120.00
_symmetry_space_group_name_H-M 'R -3 m'
_symmetry_Int_Tables_number 166
_symmetry_space_group_name_Hall '-R 3 2"'
loop_
_atom_site_label
_atom_site_type_symbol
_atom_site_fract_x
_atom_site_fract_y
_atom_site_fract_z
Li1 Li 0.0000 0.0000 0.0859
Y1 Y 0.0000 0.0000 0.5000
Sc1 Sc 0.0000 0.0000 0.3685
Tl1 Tl 0.0000 0.0000 0.2436
```

Total magnetic moment, μB per formula unit: 0.0
ΔH_f (0 K), meV per atom: -176

***

9.
First-principles (GGA-PBE) data for a geometry-optimized BeI2Br structure, as listed in the Alexandria database.

CIF file:
```
data_BeI2Br
_chemical_formula_sum 'Be4 I8 Br4'
_cell_length_a 7.4593
_cell_length_b 7.4593
_cell_length_c 9.6954
_cell_angle_alpha 90.00
_cell_angle_beta 90.00
_cell_angle_gamma 90.00
_symmetry_space_group_name_H-M 'I -4 2 d'
_symmetry_Int_Tables_number 122
_symmetry_space_group_name_Hall 'I -4 2bw'
loop_
_atom_site_label
_atom_site_type_symbol
_atom_site_fract_x
_atom_site_fract_y
_atom_site_fract_z
Be1 Be 0.0000 0.0000 0.0000
I1 I 0.1368 0.2500 0.1250
Br1 Br 0.0000 0.0000 0.5000
```

Total magnetic moment, μB per formula unit: 1.0
Distance to the lowest polymorph of the same formula, meV per atom: 0
E_form (uncorrected), meV per atom: -80

***

10.
First-principles (GGA-PBE) data for a geometry-optimized LiFe2Sb structure, as listed in the Alexandria database.

CIF file:
```
data_LiFe2Sb
_chemical_formula_sum 'Li1 Fe2 Sb1'
_cell_length_a 3.7504
_cell_length_b 3.8090
_cell_length_c 4.0479
_cell_angle_alpha 90.00
_cell_angle_beta 90.00
_cell_angle_gamma 90.00
_symmetry_space_group_name_H-M 'P m m m'
_symmetry_Int_Tables_number 47
_symmetry_space_group_name_Hall '-P 2 2'
loop_
_atom_site_label
_atom_site_type_symbol
_atom_site_fract_x
_atom_site_fract_y
_atom_site_fract_z
Li1 Li 0.0000 0.0000 0.0000
Fe1 Fe 0.0000 0.5000 0.5000
Fe2 Fe 0.5000 0.0000 0.5000
Sb1 Sb 0.5000 0.5000 0.0000
```

Total magnetic moment, μB per formula unit: 5.2
E_form (uncorrected), meV per atom: 68

***

Q: Which value of total magnetic moment does entry 3 give?
A: 0.0 μB per formula unit

***

Q: Which of these has the highest total magnetic moment?
A: LiFe2Sb